(1)
Here is a geometry-optimized CsCuH2 structure from Alexandria. Energies are from PBE.

Geometry as POSCAR:
```
CsCuH2
1.0
4.7157 2.7226 5.9079
-4.7157 2.7226 5.9079
0.0000 -5.4452 5.9079
Cs Cu H
6 6 12
Direct
0.2560 0.2560 0.6803
0.2560 0.6803 0.2560
0.3197 0.7440 0.7440
0.6803 0.2560 0.2560
0.7440 0.3197 0.7440
0.7440 0.7440 0.3197
0.1005 0.1005 0.3859
0.1005 0.3859 0.1005
0.3859 0.1005 0.1005
0.6141 0.8995 0.8995
0.8995 0.6141 0.8995
0.8995 0.8995 0.6141
0.0046 0.3260 0.3260
0.0368 0.0368 0.6175
0.0368 0.6175 0.0368
0.3260 0.0046 0.3260
0.3260 0.3260 0.0046
0.3825 0.9632 0.9632
0.6175 0.0368 0.0368
0.6740 0.6740 0.9954
0.6740 0.9954 0.6740
0.9632 0.3825 0.9632
0.9632 0.9632 0.3825
0.9954 0.6740 0.6740
```

Results
**ΔE to the lowest computed polymorph**: 0.00 eV per formula unit
**Crystal system**: trigonal

=====

(2)
Here is a geometry-optimized ReAsPtBr2 structure from Alexandria. Energies are from PBE.

Geometry as POSCAR:
```
ReAsPtBr2
1.0
5.0244 0.0000 0.0000
0.0000 5.0244 0.0000
0.0000 0.0000 4.7956
Re As Pt Br
1 1 1 2
Direct
0.0000 0.0000 0.0000
0.0000 0.0000 0.5000
0.5000 0.5000 0.5000
0.0000 0.5000 0.0000
0.5000 0.0000 0.0000
```

Results
**ΔE to the lowest computed polymorph**: 0.07 eV per formula unit
**Crystal system**: tetragonal
**Formation energy from raw total energies**: 5.7 eV/f.u.

=====

(3)
Here is a geometry-optimized ZrWBr2 structure from Alexandria. Energies are from PBE.

Geometry as POSCAR:
```
ZrWBr2
1.0
-1.5303 2.8979 4.6933
1.5303 -2.8979 4.6933
1.5303 2.8979 -4.6933
Zr W Br
1 1 2
Direct
0.0000 0.0000 0.0000
0.5000 0.5000 0.0000
0.2697 0.7697 0.5000
0.7303 0.2303 0.5000
```

Results
**ΔE to the lowest computed polymorph**: 2.47 eV per formula unit
**Crystal system**: orthorhombic
**Formation energy from raw total energies**: 2.2 eV/f.u.

=====

(4)
Here is a geometry-optimized Rb2NbV structure from Alexandria. Energies are from PBE.

Geometry as POSCAR:
```
Rb2NbV
1.0
0.0000 4.3477 4.3477
4.3477 0.0000 4.3477
4.3477 4.3477 0.0000
Rb Nb V
2 1 1
Direct
0.2500 0.2500 0.2500
0.7500 0.7500 0.7500
0.0000 0.0000 0.0000
0.5000 0.5000 0.5000
```

Results
**ΔE to the lowest computed polymorph**: 2.11 eV per formula unit
**Crystal system**: cubic
**Energy of formation from the pure elements**: 8.15 eV per formula unit

=====

(5)
Here is a geometry-optimized BaLiSc2S4 structure from Alexandria. Energies are from PBE.

Geometry as POSCAR:
```
BaLiSc2S4
1.0
1.9702 -6.4458 0.0000
1.9702 6.4458 0.0000
0.0000 0.0000 13.2078
Ba Li Sc S
2 2 4 8
Direct
0.1163 0.8837 0.7500
0.8837 0.1163 0.2500
0.1593 0.8407 0.2500
0.8407 0.1593 0.7500
0.3734 0.6266 0.5545
0.3734 0.6266 0.9455
0.6266 0.3734 0.0545
0.6266 0.3734 0.4455
0.0000 0.0000 0.0000
0.0000 0.0000 0.5000
0.2617 0.7383 0.1062
0.2617 0.7383 0.3938
0.4313 0.5687 0.7500
0.5687 0.4313 0.2500
0.7383 0.2617 0.6062
0.7383 0.2617 0.8938
```

Results
**Crystal system**: orthorhombic
**Formation energy from raw total energies**: -14.7 eV/f.u.

=====

(6)
Here is a geometry-optimized In2IBr structure from Alexandria. Energies are from PBE.

Geometry as POSCAR:
```
In2IBr
1.0
2.4267 1.4010 7.8546
-2.4267 1.4010 7.8546
0.0000 -2.8021 7.8546
In I Br
2 1 1
Direct
0.2445 0.2445 0.2445
0.7555 0.7555 0.7555
0.0000 0.0000 0.0000
0.5000 0.5000 0.5000
```

Results
**ΔE to the lowest computed polymorph**: 0.00 eV per formula unit
**Crystal system**: trigonal
**Formation energy from raw total energies**: -2.2 eV/f.u.

=====

(7)
Here is a geometry-optimized Sr2MgBi structure from Alexandria. Energies are from PBE.

Geometry as POSCAR:
```
Sr2MgBi
1.0
5.5182 0.0000 0.0000
0.0000 5.5182 0.0000
0.0000 0.0000 4.6342
Sr Mg Bi
2 1 1
Direct
0.0000 0.5000 0.0000
0.5000 0.0000 0.0000
0.0000 0.0000 0.5000
0.5000 0.5000 0.5000
```

Results
**ΔE to the lowest computed polymorph**: 0.00 eV per formula unit
**Crystal system**: tetragonal
**Energy of formation from the pure elements**: -1.98 eV per formula unit

=====

(8)
Here is a geometry-optimized La5PrNdCd2 structure from Alexandria. Energies are from PBE.

Geometry as POSCAR:
```
La5PrNdCd2
1.0
-4.5097 4.5097 7.4681
4.5097 -4.5097 7.4681
4.5097 4.5097 -7.4681
La Pr Nd Cd
10 2 2 4
Direct
0.0000 0.0000 0.0000
0.0708 0.5708 0.9019
0.1689 0.0708 0.5000
0.3311 0.8311 0.9019
0.4292 0.3311 0.5000
0.5000 0.5000 0.0000
0.5708 0.6689 0.5000
0.6689 0.1689 0.0981
0.8311 0.9292 0.5000
0.9292 0.4292 0.0981
0.2500 0.2500 0.0000
0.7500 0.7500 0.0000
0.2500 0.7500 0.5000
0.7500 0.2500 0.5000
0.1066 0.3934 0.5000
0.3934 0.8934 0.2868
0.6066 0.1066 0.7132
0.8934 0.6066 0.5000
```

Results
**Crystal system**: tetragonal
**Energy of formation from the pure elements**: 0.09 eV per formula unit

=====

(9)
Here is a geometry-optimized Pr2CdAu2 structure from Alexandria. Energies are from PBE.

Geometry as POSCAR:
```
Pr2CdAu2
1.0
8.1238 0.0000 0.0000
0.0000 8.1238 0.0000
0.0000 0.0000 3.9741
Pr Cd Au
4 2 4
Direct
0.1715 0.3285 0.0000
0.3285 0.8285 0.0000
0.6715 0.1715 0.0000
0.8285 0.6715 0.0000
0.0000 0.0000 0.5000
0.5000 0.5000 0.5000
0.1283 0.6283 0.5000
0.3717 0.1283 0.5000
0.6283 0.8717 0.5000
0.8717 0.3717 0.5000
```

Results
**Crystal system**: tetragonal
**Energy of formation from the pure elements**: -3.52 eV per formula unit

=====

(10)
Here is a geometry-optimized CsAgO structure from Alexandria. Energies are from PBE.

Geometry as POSCAR:
```
CsAgO
1.0
6.9316 -2.2093 0.0000
6.9316 2.2093 0.0000
-5.0710 0.0000 6.8940
Cs Ag O
2 2 2
Direct
0.0910 0.0910 0.3093
0.9090 0.9090 0.6907
0.2630 0.2630 0.9212
0.7370 0.7370 0.0788
0.2917 0.2917 0.7221
0.7083 0.7083 0.2779
```

Results
**Crystal system**: monoclinic
**Formation energy from raw total energies**: -1.2 eV/f.u.

=====

(11)
Here is a geometry-optimized YTe structure from Alexandria. Energies are from PBE.

Geometry as POSCAR:
```
YTe
1.0
1.9488 -5.7447 0.0000
1.9488 5.7447 0.0000
0.0000 0.0000 5.0857
Y Te
2 2
Direct
0.1169 0.8831 0.7500
0.8831 0.1169 0.2500
0.3875 0.6125 0.7500
0.6125 0.3875 0.2500
```

Results
**Crystal system**: orthorhombic
**Formation energy from raw total energies**: -2.4 eV/f.u.

=====

(12)
Here is a geometry-optimized KTiPO2 structure from Alexandria. Energies are from PBE.

Geometry as POSCAR:
```
KTiPO2
1.0
4.1821 0.0000 0.0000
0.0000 4.1821 0.0000
0.0000 0.0000 5.4407
K Ti P O
1 1 1 2
Direct
0.0000 0.0000 0.0000
0.5000 0.5000 0.5000
0.0000 0.0000 0.5000
0.0000 0.5000 0.0000
0.5000 0.0000 0.0000
```

Results
**ΔE to the lowest computed polymorph**: 11.06 eV per formula unit
**Crystal system**: tetragonal
**Formation energy from raw total energies**: 4.9 eV/f.u.

=====

(13)
Here is a geometry-optimized KRe3 structure from Alexandria. Energies are from PBE.

Geometry as POSCAR:
```
KRe3
1.0
4.1210 0.0000 0.0000
0.0000 4.1210 0.0000
0.0000 0.0000 4.1210
K Re
1 3
Direct
0.0000 0.0000 0.0000
0.0000 0.5000 0.5000
0.5000 0.0000 0.5000
0.5000 0.5000 0.0000
```

Results
**ΔE to the lowest computed polymorph**: 5.81 eV per formula unit
**Crystal system**: cubic
**Energy of formation from the pure elements**: 8.72 eV per formula unit

=====

(14)
Here is a geometry-optimized Pm3Ge2Cl structure from Alexandria. Energies are from PBE.

Geometry as POSCAR:
```
Pm3Ge2Cl
1.0
-2.1059 2.9721 6.4040
2.1059 -2.9721 6.4040
2.1059 2.9721 -6.4040
Pm Ge Cl
3 2 1
Direct
0.0000 0.0000 0.0000
0.3254 0.3254 0.0000
0.6746 0.6746 0.0000
0.1629 0.6629 0.5000
0.8371 0.3371 0.5000
0.5000 0.0000 0.5000
```

Results
**ΔE to the lowest computed polymorph**: 0.00 eV per formula unit
**Crystal system**: orthorhombic
**Formation energy from raw total energies**: -7.0 eV/f.u.